The following is a DFT calculation (PBE) of a relaxed Mg2TlGaIr crystal.

Properties
VASP energy = -3.652 eV per atom
ΔH_f (0 K) = -0.1636 eV per atom
D(E_F) = 1.017 states/eV per cell
Magnetic moment = 0.000 μB per cell

The structure in POSCAR format:
```
Mg2TlGaIr
1.0
-0.454 5.025 -0.632
-4.273 -0.721 -2.661
-2.562 0.277 4.039
Mg Ir Tl Ga
2 1 1 1
Cartesian
-2.136 -0.360 -1.330
-0.227 2.512 -0.316
0.000 0.000 0.000
-3.644 2.291 0.373
-1.281 0.138 2.019
```